Entry 1:
PrNdInN3 | PBE-GGA | relaxed

Formation energy without anion corrections = -0.780 eV/atom
M_tot = 0.000 μB/atom

Structure (CIF):
```
data_PrNdInN3
_space_group_name_H-M_alt 'P 1 21/m 1'
_space_group_IT_number 11
_space_group_name_Hall '-P 2yb'
_cell_length_a 6.088
_cell_length_b 3.521
_cell_length_c 9.029
_cell_angle_alpha 90.00
_cell_angle_beta 99.02
_cell_angle_gamma 90.00
loop_
_atom_site_label
_atom_site_fract_x
_atom_site_fract_y
_atom_site_fract_z
_atom_site_occupancy
Pr1 0.163 0.250 0.189 1
Nd1 0.262 0.750 0.552 1
In1 0.349 0.250 0.859 1
N1 0.039 0.250 0.667 1
N2 0.250 0.750 0.985 1
N3 0.454 0.750 0.330 1
```

=====

Entry 2:
TaBeSe2 | PBE-GGA | relaxed

Formation energy without anion corrections = -0.158 eV/atom
M_tot = 0.000 μB/atom

Structure (CIF):
```
data_TaBeSe2
_space_group_name_H-M_alt 'P 1 2/m 1'
_space_group_IT_number 10
_space_group_name_Hall '-P 2y'
_cell_length_a 3.348
_cell_length_b 3.233
_cell_length_c 6.135
_cell_angle_alpha 90.00
_cell_angle_beta 104.07
_cell_angle_gamma 90.00
loop_
_atom_site_label
_atom_site_fract_x
_atom_site_fract_y
_atom_site_fract_z
_atom_site_occupancy
Ta1 0.000 0.000 0.000 1
Be1 0.000 0.000 0.500 1
Se1 0.370 0.500 0.744 1
```

=====

Entry 3:
LaPrSm2 | PBE-GGA | relaxed

Energy above the most stable polymorph in this dataset = 17.6 kJ/mol of atoms
M_tot = 0.000 μB/atom
E_form = 0.7 eV/f.u.

Structure (CIF):
```
data_LaPrSm2
_space_group_name_H-M_alt 'A m m 2'
_space_group_IT_number 38
_space_group_name_Hall 'A 2 -2'
_cell_length_a 3.728
_cell_length_b 6.060
_cell_length_c 12.722
_cell_angle_alpha 90.00
_cell_angle_beta 90.00
_cell_angle_gamma 90.00
loop_
_atom_site_label
_atom_site_fract_x
_atom_site_fract_y
_atom_site_fract_z
_atom_site_occupancy
La1 0.000 0.000 0.000 1
Pr1 0.500 0.000 0.772 1
Sm1 0.000 0.000 0.273 1
Sm2 0.500 0.000 0.499 1
```

=====

Entry 4:
Al3V4Mo | PBE-GGA | relaxed

Energy above the most stable polymorph in this dataset = 3.0 kJ/mol of atoms
M_tot = 0.579 μB/atom
E_form = -0.7 eV/f.u.

Structure (CIF):
```
data_Al3V4Mo
_space_group_name_H-M_alt 'P 4/m m m'
_space_group_IT_number 123
_space_group_name_Hall '-P 4 2'
_cell_length_a 4.350
_cell_length_b 4.350
_cell_length_c 6.171
_cell_angle_alpha 90.00
_cell_angle_beta 90.00
_cell_angle_gamma 90.00
loop_
_atom_site_label
_atom_site_fract_x
_atom_site_fract_y
_atom_site_fract_z
_atom_site_occupancy
Al1 0.000 0.000 0.000 1
Al2 0.000 0.000 0.500 1
Al3 0.500 0.500 0.000 1
V1 0.000 0.500 0.253 1
Mo1 0.500 0.500 0.500 1
```

=====

Entry 5:
PmLuHgOs | PBE-GGA | relaxed

M_tot = 0.000 μB/atom
E_form = -0.9 eV/f.u.

Structure (CIF):
```
data_PmLuHgOs
_space_group_name_H-M_alt 'F -4 3 m'
_space_group_IT_number 216
_space_group_name_Hall 'F -4 2 3'
_cell_length_a 7.120
_cell_length_b 7.120
_cell_length_c 7.120
_cell_angle_alpha 90.00
_cell_angle_beta 90.00
_cell_angle_gamma 90.00
loop_
_atom_site_label
_atom_site_fract_x
_atom_site_fract_y
_atom_site_fract_z
_atom_site_occupancy
Pm1 0.000 0.000 0.000 1
Lu1 0.000 0.000 0.500 1
Hg1 0.250 0.250 0.750 1
Os1 0.250 0.250 0.250 1
```

=====

Entry 6:
Sb2TeCl | PBE-GGA | relaxed

Energy above the most stable polymorph in this dataset = 31.0 kJ/mol of atoms
Formation energy without anion corrections = 0.163 eV/atom
M_tot = 0.000 μB/atom

Structure (CIF):
```
data_Sb2TeCl
_space_group_name_H-M_alt 'P 4/m m m'
_space_group_IT_number 123
_space_group_name_Hall '-P 4 2'
_cell_length_a 3.253
_cell_length_b 3.253
_cell_length_c 9.859
_cell_angle_alpha 90.00
_cell_angle_beta 90.00
_cell_angle_gamma 90.00
loop_
_atom_site_label
_atom_site_fract_x
_atom_site_fract_y
_atom_site_fract_z
_atom_site_occupancy
Sb1 0.000 0.000 0.238 1
Te1 0.500 0.500 0.500 1
Cl1 0.500 0.500 0.000 1
```

=====

Entry 7:
K2ZrGeS5 | PBE-GGA | relaxed

Formation energy without anion corrections = -1.105 eV/atom
M_tot = 0.000 μB/atom

Structure (CIF):
```
data_K2ZrGeS5
_space_group_name_H-M_alt 'C m c 21'
_space_group_IT_number 36
_space_group_name_Hall 'C 2c -2'
_cell_length_a 3.780
_cell_length_b 18.947
_cell_length_c 13.746
_cell_angle_alpha 90.00
_cell_angle_beta 90.00
_cell_angle_gamma 90.00
loop_
_atom_site_label
_atom_site_fract_x
_atom_site_fract_y
_atom_site_fract_z
_atom_site_occupancy
K1 0.000 0.123 0.000 1
K2 0.000 0.127 0.646 1
Zr1 0.000 0.213 0.358 1
Ge1 0.000 0.433 0.742 1
S1 0.000 0.055 0.345 1
S2 0.000 0.301 0.978 1
S3 0.000 0.315 0.720 1
S4 0.000 0.334 0.325 1
S5 0.000 0.492 0.610 1
```

=====

Entry 8:
BaLu2Co | PBE-GGA | relaxed

M_tot = 0.000 μB/atom
E_form = 0.3 eV/f.u.

Structure (CIF):
```
data_BaLu2Co
_space_group_name_H-M_alt 'R -3 m'
_space_group_IT_number 166
_space_group_name_Hall '-R 3 2"'
_cell_length_a 3.8052
_cell_length_b 3.8052
_cell_length_c 31.0649
_cell_angle_alpha 90.00
_cell_angle_beta 90.00
_cell_angle_gamma 120.00
loop_
_atom_site_label
_atom_site_fract_x
_atom_site_fract_y
_atom_site_fract_z
_atom_site_occupancy
Ba1 0.0000 0.0000 0.0000 1
Lu1 0.0000 0.0000 0.1218 1
Co1 0.0000 0.0000 0.5000 1
```